Here is CsKCuP after structural relaxation from OQMD. Energies are from PBE.

Calculated values
As for the calculated total energy: -3.05 eV per atom.

Cell: 6.008 6.504 6.504 Å, 108.69 90.00 90.00°
Positions (direct):
Cs 0.000 0.171 0.829
Cs 0.000 0.829 0.171
K 0.500 0.133 0.462
K 0.500 0.462 0.133
Cu 0.249 0.636 0.636
Cu 0.751 0.636 0.636
P 0.000 0.414 0.414
P 0.500 0.855 0.855

Here is PmTlTe2 after structural relaxation from OQMD. Energies are from PBE.

Calculated values
As for the calculated total energy: -4.42 eV per atom.

Cell: 8.573 8.573 8.573 Å, 30.67 30.67 30.67°
Positions (direct):
Pm 0.000 0.000 0.000
Tl 0.500 0.500 0.500
Te 0.260 0.260 0.260
Te 0.740 0.740 0.740

Here is SmErAs2Pt2 after structural relaxation from OQMD. Energies are from PBE.

Calculated values
As for the calculated total energy: -6.36 eV per atom.

Cell: 4.308 4.308 15.361 Å, 90.00 90.00 120.00°
Positions (direct):
Sm 0.000 0.000 0.000
Sm 0.000 0.000 0.500
Er 0.000 0.000 0.250
Er 0.000 0.000 0.750
As 0.333 0.667 0.118
As 0.333 0.667 0.382
As 0.667 0.333 0.618
As 0.667 0.333 0.882
Pt 0.333 0.667 0.642
Pt 0.333 0.667 0.858
Pt 0.667 0.333 0.142
Pt 0.667 0.333 0.358